Density functional theory data (PBE) for an optimized crystal structure of ZnTeP.

Calculated values
Spin magnetization ... 0.0 Bohr magnetons per cell
Symmetry ... C2/m (12)
VASP energy ... -3.283 eV per atom
Distance to the lowest polymorph of the same formula ... 0.115 eV/atom

Lattice parameters (Å, degrees): 4.0294 4.0294 10.5867 87.94 87.94 59.67
Sites, in units of the cell vectors:
1 Te 0.2188 0.2188 0.5439
2 Te 0.5346 0.5346 0.7635
3 P 0.2499 0.2499 0.3038
4 P 0.5032 0.5032 0.0035
5 Zn 0.5838 0.5838 0.2683
6 Zn 0.1693 0.1693 0.0390